A PBEsol-optimized structure of RbPdN3. Source: Alexandria, functional SCAN.

Results
Raw formation energy in eV per atom: 3.4605
N(E_F) in states/eV/f.u.: 3.600
Theoretical density in g/cm³: 4.38

a = 4.459 Å, b = 4.459 Å, c = 4.459 Å
α = 90.00°, β = 90.00°, γ = 90.00°
Space group Pm-3m (No. 221)
Inequivalent atoms, fractional coordinates:
Rb (0.000, 0.000, 0.000) (multiplicity 1)
Pd (0.500, 0.500, 0.500) (multiplicity 1)
N (0.000, 0.000, 0.500) (multiplicity 3)

A PBEsol-optimized structure of Be2IN. Source: Alexandria, functional SCAN.

Results
Raw formation energy in eV per atom: 1.6789
N(E_F) in states/eV/f.u.: 1.530
Theoretical density in g/cm³: 5.13

a = 5.905 Å, b = 5.905 Å, c = 5.905 Å
α = 90.00°, β = 90.00°, γ = 90.00°
Space group Fm-3m (No. 225)
Inequivalent atoms, fractional coordinates:
Be (0.250, 0.250, 0.250) (multiplicity 8)
I (0.000, 0.000, 0.000) (multiplicity 4)
N (0.000, 0.000, 0.500) (multiplicity 4)

A PBEsol-optimized structure of CuRuSe2. Source: Alexandria, functional SCAN.

Results
Raw formation energy in eV per atom: 0.0357
N(E_F) in states/eV/f.u.: 2.320
Theoretical density in g/cm³: 7.98

a = 3.229 Å, b = 3.229 Å, c = 6.437 Å
α = 90.00°, β = 90.00°, γ = 90.00°
Space group P4mm (No. 99)
Inequivalent atoms, fractional coordinates:
Cu (0.000, 0.000, 0.000) (multiplicity 1)
Ru (0.500, 0.500, 0.244) (multiplicity 1)
Se (0.000, 0.000, 0.415) (multiplicity 1)
Se (0.500, 0.500, 0.856) (multiplicity 1)

A PBEsol-optimized structure of SrLiCd. Source: Alexandria, functional SCAN.

Results
Formation enthalpy at 0 K in meV per atom: -238
E above lowest polymorph in meV/atom: 13
N(E_F) in states/eV/f.u.: 1.476
Theoretical density in g/cm³: 4.17

a = 3.876 Å, b = 3.876 Å, c = 10.973 Å
α = 90.00°, β = 90.00°, γ = 90.00°
Space group I4mm (No. 107)
Inequivalent atoms, fractional coordinates:
Sr (0.000, 0.000, 0.000) (multiplicity 2)
Li (0.000, 0.000, 0.294) (multiplicity 2)
Cd (0.000, 0.000, 0.685) (multiplicity 2)

A PBEsol-optimized structure of Er5Ge2Sb2. Source: Alexandria, functional SCAN.

Results
Raw formation energy in eV per atom: -1.0350
N(E_F) in states/eV/f.u.: 5.633
Theoretical density in g/cm³: 9.19

a = 14.794 Å, b = 7.727 Å, c = 7.747 Å
α = 90.00°, β = 90.00°, γ = 90.00°
Space group Cmce (No. 64)
Inequivalent atoms, fractional coordinates:
Er (0.000, 0.000, 0.000) (multiplicity 4)
Er (0.127, 0.164, 0.336) (multiplicity 16)
Ge (0.000, 0.138, 0.638) (multiplicity 8)
Sb (0.205, 0.000, 0.000) (multiplicity 8)

A PBEsol-optimized structure of SrTc3F. Source: Alexandria, functional SCAN.

Results
Raw formation energy in eV per atom: 2.9033
N(E_F) in states/eV/f.u.: 4.501
Theoretical density in g/cm³: 5.13

a = 5.062 Å, b = 5.062 Å, c = 5.062 Å
α = 90.00°, β = 90.00°, γ = 90.00°
Space group Pm-3m (No. 221)
Inequivalent atoms, fractional coordinates:
Sr (0.000, 0.000, 0.000) (multiplicity 1)
Tc (0.000, 0.000, 0.500) (multiplicity 3)
F (0.500, 0.500, 0.500) (multiplicity 1)